Density functional theory data (PBE+U) for Tc2WO after structural relaxation.

```
Tc2WO
1.0
-3.6394 -3.8290 3.7779
3.4969 -5.1501 -1.8512
1.5649 -4.0905 2.9440
O Tc W
2 4 2
Cartesian
-0.0713 -4.4896 0.9634
2.4953 -6.8651 1.0281
-1.1298 -3.7266 2.5373
1.8054 -5.0530 0.3797
1.4243 -6.8829 2.7696
0.7449 -10.4769 4.0548
0.0000 0.0000 0.0000
-1.0729 -6.2046 3.8426
```

Summary:
Calculated density ... 11.988 g cm⁻³
Magnetization ... 0.0 Bohr magnetons per cell
E ... -7.898 eV per atom
Space group ... I-42d, No. 122